Entry 1:
Compound: La2Nd6Sm3Cd
Source: the Alexandria database
Functional: PBE
Structure: optimized geometry

Cell and atoms, written as POSCAR:
```
La2Nd6Sm3Cd
1.0
3.1408 -5.4479 0.0000
3.1408 5.4479 0.0000
-2.1408 0.0000 11.8466
La Nd Sm Cd
2 6 3 1
Direct
0.1673 0.8327 0.0000
0.8327 0.1673 0.0000
0.0910 0.4180 0.7506
0.2549 0.2549 0.2509
0.4180 0.0910 0.7506
0.5820 0.9090 0.2494
0.7451 0.7451 0.7491
0.9090 0.5820 0.2494
0.0000 0.0000 0.5000
0.3333 0.6667 0.5000
0.6667 0.3333 0.5000
0.5000 0.5000 0.0000
```

## Properties
- M_tot: 0.0 μB/cell
- Energy of formation from the pure elements: -17 meV per atom

=====

Entry 2:
Compound: La2NdSm2Cd
Source: the Alexandria database
Functional: PBE
Structure: optimized geometry

Cell and atoms, written as POSCAR:
```
La2NdSm2Cd
1.0
6.6986 0.0000 0.0000
0.0000 10.2278 0.0000
0.0000 0.0000 5.8437
La Nd Sm Cd
4 2 4 2
Direct
0.1963 0.1354 0.0000
0.3037 0.6354 0.5000
0.6963 0.3646 0.5000
0.8037 0.8646 0.0000
0.0000 0.5000 0.0000
0.5000 0.0000 0.5000
0.1951 0.2944 0.5000
0.3049 0.7944 0.0000
0.6951 0.2056 0.0000
0.8049 0.7056 0.5000
0.0000 0.0000 0.5000
0.5000 0.5000 0.0000
```

## Properties
- M_tot: 0.0 μB/cell
- Energy of formation from the pure elements: 50 meV per atom

=====

Entry 3:
Compound: La4NdSm2Cd
Source: the Alexandria database
Functional: PBE
Structure: optimized geometry

Cell and atoms, written as POSCAR:
```
La4NdSm2Cd
1.0
5.9443 0.0000 0.0000
0.0000 5.9443 0.0000
0.0000 0.0000 7.7056
La Nd Sm Cd
4 1 2 1
Direct
0.0000 0.5000 0.2277
0.0000 0.5000 0.7723
0.5000 0.0000 0.2277
0.5000 0.0000 0.7723
0.0000 0.0000 0.5000
0.0000 0.0000 0.0000
0.5000 0.5000 0.5000
0.5000 0.5000 0.0000
```

## Properties
- M_tot: 0.0 μB/cell
- Energy of formation from the pure elements: -4 meV per atom

=====

Entry 4:
Compound: LaNdSmCd
Source: the Alexandria database
Functional: PBE
Structure: optimized geometry

Cell and atoms, written as POSCAR:
```
LaNdSmCd
1.0
0.0000 3.9844 3.9844
3.9844 0.0000 3.9844
3.9844 3.9844 0.0000
La Nd Sm Cd
1 1 1 1
Direct
0.0000 0.0000 0.0000
0.5000 0.5000 0.5000
0.7500 0.7500 0.7500
0.2500 0.2500 0.2500
```

## Properties
- M_tot: 0.0 μB/cell
- Energy of formation from the pure elements: -39 meV per atom
- ΔE to the lowest computed polymorph: 2.59 kcal/mol of atoms